DFT (meta-GGA SCAN) results for a crystal of Cu2Pt relaxed with PBEsol.

Values from the calculation:
Final energy ... -100.9 eV per cell
Relative energy among the computed polymorphs ... 0.073 eV/atom
Density of states at the Fermi level ... 1.39 states/eV per cell
ΔH_f (0 K) ... -0.0918 eV/atom

Lattice parameters (Å, degrees): 2.6130 4.1058 4.1058 120.00 90.00 90.00
Closest atoms and distances in Å follow each position.
Atoms (fractional coordinates):
Pt: 0.0000 0.0000 0.0000  12 Cu 2.60-2.82, 2 Pt 2.61
Cu: 0.4124 0.6667 0.3333  5 Cu 2.41-2.61, 3 Pt 2.60
Cu: 0.5876 0.3333 0.6667  5 Cu 2.41-2.61, 3 Pt 2.60